Below is a relaxed Ac2PdAu3 crystal, with properties calculated at the GGA-PBE level.

a b c (Å): 3.961 4.861 8.188
angles (deg): 90.00 90.00 90.00
Element x y z (fractional)
Ac: 0.000 0.500 0.010
Ac: 0.000 0.000 0.495
Au: 0.500 0.000 0.172
Au: 0.500 0.500 0.664
Au: 0.500 0.000 0.831
Pd: 0.500 0.500 0.328

Summary:
* size of the total moment: 0.0 μB per cell
* ΔH_f (0 K): -485.1 kJ/mol of formula units

Below is a relaxed LiPb5Au3 crystal, with properties calculated at the GGA-PBE level.

a b c (Å): 5.915 5.915 8.611
angles (deg): 90.00 90.00 120.00
Element x y z (fractional)
Au: 0.500 0.000 0.500
Au: 0.000 0.500 0.500
Au: 0.500 0.500 0.500
Li: 0.000 0.000 0.000
Pb: 0.667 0.333 0.199
Pb: 0.333 0.667 0.199
Pb: 0.000 0.000 0.500
Pb: 0.667 0.333 0.801
Pb: 0.333 0.667 0.801

Summary:
* uncorrected energy: -3.34 eV/atom

Below is a relaxed KThFe crystal, with properties calculated at the GGA-PBE level.

a b c (Å): 4.894 4.894 4.894
angles (deg): 60.00 60.00 60.00
Last column: magnetic moment on the atom in μB.
Element x y z (fractional)
Fe: 0.000 0.000 0.000  1.60
K: 0.750 0.750 0.750  -0.02
Th: 0.250 0.250 0.250  -0.37

Summary:
* relative energy among the computed polymorphs: 0 meV/atom
* size of the total moment: 1.0 μB per cell

Below is a relaxed Rb3ZrO3 crystal, with properties calculated at the GGA-PBE level.

a b c (Å): 7.065 7.065 7.046
angles (deg): 95.32 95.32 114.43
Element x y z (fractional)
O: 0.925 0.925 0.163
O: 0.424 0.150 0.277
O: 0.150 0.424 0.277
O: 0.850 0.576 0.723
O: 0.576 0.850 0.723
O: 0.075 0.075 0.837
Rb: 0.735 0.265 0.000
Rb: 0.265 0.735 0.000
Rb: 0.648 0.648 0.354
Rb: 0.804 0.196 0.500
Rb: 0.196 0.804 0.500
Rb: 0.352 0.352 0.646
Zr: 0.193 0.193 0.138
Zr: 0.807 0.807 0.862

Summary:
* uncorrected energy: -5.62 eV/atom
* size of the total moment: 0.0 μB per cell

Below is a relaxed MgTa2Zn5 crystal, with properties calculated at the GGA-PBE level.

a b c (Å): 5.727 5.727 4.248
angles (deg): 90.00 90.00 90.00
Element x y z (fractional)
Mg: 0.000 0.000 0.000
Ta: 0.500 0.000 0.500
Ta: 0.000 0.500 0.500
Zn: 0.294 0.294 0.000
Zn: 0.706 0.294 0.000
Zn: 0.294 0.706 0.000
Zn: 0.706 0.706 0.000
Zn: 0.000 0.000 0.500

Summary:
* uncorrected energy: -3.23 eV/atom
* size of the total moment: 0.0 μB per cell

Below is a relaxed DyEr2Mg3TlGa2 crystal, with properties calculated at the GGA-PBE level.

a b c (Å): 4.532 7.307 7.307
angles (deg): 120.14 90.00 90.00
Element x y z (fractional)
Dy: 0.000 0.562 0.562
Er: 0.000 0.000 0.437
Er: 0.000 0.437 0.000
Ga: 0.500 0.667 0.332
Ga: 0.500 0.332 0.667
Mg: 0.500 0.750 0.000
Mg: 0.500 0.250 0.250
Mg: 0.500 0.000 0.750
Tl: 0.000 0.001 0.001

Summary:
* uncorrected energy: -3.41 eV/atom
* size of the total moment: 0.0 μB per cell